Model P:
This record from Alexandria describes an optimized crystal structure of AcI2Br. The functional is PBE.

As for the calculated volume: 34.118 Å³ per atom. Its space-group type is No. 225.

Cell lengths 5.779, 5.779, 5.779 Å; angles 59.99, 59.99, 60.00 degrees
Fractional coordinates of all 4 atoms:
Br 0.500 0.500 0.500
Ac 0.000 0.000 0.000
I 0.750 0.750 0.750
I 0.250 0.250 0.250

Model Q:
This record from Alexandria describes an optimized crystal structure of AcI2Br. The functional is PBE.

As for the calculated volume: 43.902 Å³ per atom. Its space-group type is No. 44.

Cell lengths 4.454, 6.891, 6.891 Å; angles 63.88, 71.15, 71.15 degrees
Fractional coordinates of all 4 atoms:
I 0.189 0.165 0.456
Ac 0.500 0.157 0.843
I 0.811 0.544 0.835
Br 0.000 0.874 0.126

Model R:
This record from Alexandria describes an optimized crystal structure of AcI2Br. The functional is PBE.

As for the calculated volume: 45.610 Å³ per atom. Its space-group type is No. 11.

Cell lengths 4.560, 8.149, 10.224 Å; angles 90.00, 90.00, 106.20 degrees
Fractional coordinates of all 8 atoms:
Ac 0.242 0.484 0.750
I 0.851 0.702 0.937
I 0.851 0.702 0.563
I 0.149 0.298 0.437
I 0.149 0.298 0.063
Br 0.613 0.225 0.750
Br 0.387 0.775 0.250
Ac 0.758 0.516 0.250

It is model R that is most stable; the runner-up trails by 0.069 eV/atom.

Model P:
This record from Alexandria describes an optimized crystal structure of AcIBr. The functional is PBE.

As for the calculated volume: 35.945 Å³ per atom. Its space-group type is No. 156.

Cell lengths 4.177, 5.460, 5.460 Å; angles 120.00, 90.00, 90.00 degrees
Fractional coordinates of all 3 atoms:
Ac 0.074 0.000 0.000
I 0.706 0.667 0.333
Br 0.220 0.333 0.667

Model Q:
This record from Alexandria describes an optimized crystal structure of AcIBr. The functional is PBE.

As for the calculated volume: 44.839 Å³ per atom. Its space-group type is No. 14.

Cell lengths 4.320, 10.854, 11.549 Å; angles 96.54, 90.00, 90.00 degrees
Fractional coordinates of all 12 atoms:
Ac 0.749 0.623 0.124
Ac 0.751 0.123 0.624
Br 0.751 0.415 0.683
Br 0.251 0.085 0.817
Br 0.749 0.915 0.183
Br 0.249 0.585 0.317
Ac 0.251 0.377 0.876
I 0.749 0.813 0.583
Ac 0.249 0.877 0.376
I 0.751 0.313 0.083
I 0.251 0.187 0.417
I 0.249 0.687 0.917

It is model Q that is most stable; the runner-up trails by 0.067 eV/atom.

Model P:
This record from Alexandria describes an optimized crystal structure of Ac2InBr. The functional is PBE.

As for the calculated volume: 33.089 Å³ per atom. Its space-group type is No. 123.

Cell lengths 3.868, 3.868, 8.847 Å; angles 90.00, 90.00, 90.00 degrees
Fractional coordinates of all 4 atoms:
Ac 0.000 0.000 0.258
Br 0.500 0.500 0.000
In 0.500 0.500 0.500
Ac 0.000 0.000 0.742

Model Q:
This record from Alexandria describes an optimized crystal structure of Ac2InBr. The functional is PBE.

As for the calculated volume: 34.057 Å³ per atom. Its space-group type is No. 225.

Cell lengths 5.776, 5.776, 5.776 Å; angles 60.00, 60.00, 60.00 degrees
Fractional coordinates of all 4 atoms:
Ac 0.750 0.750 0.750
Br 0.500 0.500 0.500
Ac 0.250 0.250 0.250
In 0.000 0.000 0.000

It is model P that is most stable; the runner-up trails by 0.045 eV/atom.

Model P:
This record from Alexandria describes an optimized crystal structure of K2AcBr5. The functional is PBE.

As for the calculated volume: 64.710 Å³ per atom. Its space-group type is No. 1.

Cell lengths 8.768, 8.772, 9.161 Å; angles 118.65, 118.68, 90.00 degrees
Fractional coordinates of all 8 atoms:
Br 0.291 0.829 0.120
Br 0.291 0.291 0.119
K 0.134 0.634 0.267
Br 0.829 0.829 0.120
Br 0.829 0.291 0.120
Ac 0.993 0.993 0.987
Br 0.776 0.776 0.554
K 0.634 0.134 0.267

Model Q:
This record from Alexandria describes an optimized crystal structure of K2AcBr5. The functional is PBE.

As for the calculated volume: 35.904 Å³ per atom. Its space-group type is No. 62.

Cell lengths 8.742, 9.557, 13.753 Å; angles 90.00, 90.00, 90.00 degrees
Fractional coordinates of all 32 atoms:
Br 0.568 0.750 0.992
K 0.040 0.502 0.326
K 0.540 0.498 0.174
Br 0.664 0.044 0.414
K 0.960 0.498 0.674
Br 0.336 0.956 0.586
K 0.540 0.002 0.174
Br 0.932 0.750 0.492
Br 0.680 0.750 0.710
Br 0.836 0.044 0.914
Br 0.141 0.750 0.818
K 0.040 0.998 0.326
Br 0.320 0.250 0.290
Br 0.859 0.250 0.182
Br 0.164 0.956 0.086
K 0.960 0.002 0.674
Br 0.820 0.750 0.210
K 0.460 0.502 0.826
Ac 0.424 0.250 0.508
Ac 0.924 0.750 0.992
K 0.460 0.998 0.826
Br 0.068 0.250 0.508
Ac 0.076 0.250 0.008
Br 0.641 0.250 0.682
Br 0.164 0.544 0.086
Br 0.836 0.456 0.914
Ac 0.576 0.750 0.492
Br 0.336 0.544 0.586
Br 0.359 0.750 0.318
Br 0.664 0.456 0.414
Br 0.180 0.250 0.790
Br 0.432 0.250 0.008

It is model Q that is most stable; the runner-up trails by 0.147 eV/atom.

Model P:
This record from Alexandria describes an optimized crystal structure of AcLaSbBr. The functional is PBE.

As for the calculated volume: 40.126 Å³ per atom. Its space-group type is No. 166.

Cell lengths 4.493, 4.493, 18.547 Å; angles 83.04, 83.04, 60.00 degrees
Fractional coordinates of all 8 atoms:
Br 0.699 0.699 0.902
La 0.398 0.398 0.807
Sb 0.903 0.903 0.292
Sb 0.097 0.097 0.708
Ac 0.802 0.802 0.594
Br 0.301 0.301 0.098
Ac 0.198 0.198 0.406
La 0.602 0.602 0.193

Model Q:
This record from Alexandria describes an optimized crystal structure of AcLaSbBr. The functional is PBE.

As for the calculated volume: 30.888 Å³ per atom. Its space-group type is No. 216.

Cell lengths 5.591, 5.591, 5.591 Å; angles 60.00, 60.00, 60.00 degrees
Fractional coordinates of all 4 atoms:
Br 0.750 0.750 0.750
Sb 0.250 0.250 0.250
Ac 0.000 0.000 0.000
La 0.500 0.500 0.500

It is model P that is most stable; the runner-up trails by 0.057 eV/atom.

Model P:
This record from Alexandria describes an optimized crystal structure of AcLaTlBr. The functional is PBE.

As for the calculated volume: 35.034 Å³ per atom. Its space-group type is No. 160.

Cell lengths 4.780, 4.780, 7.600 Å; angles 71.67, 71.67, 60.00 degrees
Fractional coordinates of all 4 atoms:
Br 0.198 0.198 0.407
Tl 0.690 0.690 0.929
Ac 0.443 0.443 0.671
La 0.946 0.946 0.163

Model Q:
This record from Alexandria describes an optimized crystal structure of AcLaTlBr. The functional is PBE.

As for the calculated volume: 32.349 Å³ per atom. Its space-group type is No. 216.

Cell lengths 5.677, 5.677, 5.677 Å; angles 60.00, 60.00, 60.00 degrees
Fractional coordinates of all 4 atoms:
Tl 0.750 0.750 0.750
Ac 0.000 0.000 0.000
Br 0.250 0.250 0.250
La 0.500 0.500 0.500

It is model P that is most stable; the runner-up trails by 0.086 eV/atom.